1.
A crystal of NaPO3 relaxed with PBEsol. Source: the Alexandria database, functional SCAN.

Cell lengths 3.918, 3.918, 3.918 Å; angles 90.00, 90.00, 90.00 degrees
Space group Pm-3m (No. 221)
Asymmetric unit:
Na  0.000  0.000  0.000 [1 per cell]
P  0.500  0.500  0.500 [1 per cell]
O  0.000  0.000  0.500 [3 per cell]

Calculated values
Its density of states at the Fermi level is 1.415 states/eV per cell. The uncorrected formation energy comes out at 0.9605 eV/atom. The calculated total energy comes out at -5.7010 eV per atom.

=====

2.
A crystal of NdSi2 relaxed with PBEsol. Source: the Alexandria database, functional SCAN.

Cell lengths 4.132, 4.132, 14.050 Å; angles 90.00, 90.00, 90.00 degrees
Space group I4_1/amd (No. 141, origin choice 2)
Asymmetric unit:
Nd  0.000  0.250  0.375 [4 per cell]
Si  0.000  0.250  0.791 [8 per cell]

Calculated values
Its density of states at the Fermi level is 5.007 states/eV per cell. The uncorrected formation energy comes out at -0.5974 eV/atom. The calculated total energy comes out at -21.8020 eV per atom.

=====

3.
A crystal of Nb3Si2 relaxed with PBEsol. Source: the Alexandria database, functional SCAN.

Cell lengths 6.714, 6.714, 3.480 Å; angles 90.00, 90.00, 90.00 degrees
Space group P4/mbm (No. 127)
Asymmetric unit:
Nb  0.000  0.000  0.000 [2 per cell]
Nb  0.171  0.329  0.500 [4 per cell]
Si  0.128  0.628  0.000 [4 per cell]

Calculated values
Its density of states at the Fermi level is 5.922 states/eV per cell. The uncorrected formation energy comes out at -0.6646 eV/atom. The calculated total energy comes out at -24.5488 eV per atom.

=====

4.
A crystal of LaAgCl2 relaxed with PBEsol. Source: the Alexandria database, functional SCAN.

Cell lengths 4.595, 4.595, 8.177 Å; angles 90.00, 90.00, 90.00 degrees
Space group I4/mmm (No. 139)
Asymmetric unit:
La  0.000  0.000  0.000 [2 per cell]
Ag  0.000  0.000  0.500 [2 per cell]
Cl  0.000  0.500  0.250 [4 per cell]

Calculated values
Its energy above the lowest structure with this stoichiometry is 0 meV per atom. The uncorrected formation energy comes out at -1.4046 eV/atom. The calculated total energy comes out at -24.0116 eV per atom.

=====

5.
A crystal of CeMn2Si2 relaxed with PBEsol. Source: the Alexandria database, functional SCAN.

Cell lengths 3.895, 3.895, 10.232 Å; angles 90.00, 90.00, 90.00 degrees
Space group I4/mmm (No. 139)
Asymmetric unit:
Ce  0.000  0.000  0.000 [2 per cell]
Mn  0.000  0.500  0.250 [4 per cell]
Si  0.000  0.000  0.378 [4 per cell]

Calculated values
Its density of states at the Fermi level is 5.690 states/eV per cell. The uncorrected formation energy comes out at -0.6397 eV/atom. The calculated total energy comes out at -20.8608 eV per atom.

=====

6.
A crystal of BeAsOs2 relaxed with PBEsol. Source: the Alexandria database, functional SCAN.

Cell lengths 2.8603, 2.8603, 22.0524 Å; angles 90.00, 90.00, 120.00 degrees
Space group R-3m (No. 166, hexagonal axes)
Asymmetric unit:
Be  0.0000  0.0000  0.0000 [3 per cell]
As  0.0000  0.0000  0.5000 [3 per cell]
Os  0.0000  0.0000  0.2543 [6 per cell]

Calculated values
Its formation energy is 0.2962 eV per atom. Its energy above the lowest structure with this stoichiometry is 0 meV per atom. Its density of states at the Fermi level is 8.940 states/eV per cell. The calculated total energy comes out at -41.7798 eV per atom.

=====

7.
A crystal of CrIrCl2 relaxed with PBEsol. Source: the Alexandria database, functional SCAN.

Cell lengths 6.267, 6.267, 6.267 Å; angles 90.00, 90.00, 90.00 degrees
Space group F-43m (No. 216)
Asymmetric unit:
Cr  0.000  0.000  0.000 [4 per cell]
Ir  0.250  0.250  0.750 [4 per cell]
Cl  0.000  0.000  0.500 [4 per cell]
Cl  0.250  0.250  0.250 [4 per cell]

Calculated values
Its energy above the lowest structure with this stoichiometry is 901 meV per atom. Its density of states at the Fermi level is 2.013 states/eV per cell. The uncorrected formation energy comes out at 0.6323 eV/atom. The calculated total energy comes out at -25.7276 eV per atom.

=====

8.
A crystal of ZnNi6Au relaxed with PBEsol. Source: the Alexandria database, functional SCAN.

Cell lengths 7.143, 10.127, 10.136 Å; angles 90.00, 90.00, 90.00 degrees
Space group Cmmm (No. 65)
Asymmetric unit:
Zn  0.000  0.000  0.246 [4 per cell]
Zn  0.000  0.252  0.000 [4 per cell]
Ni  0.000  0.000  0.000 [2 per cell]
Ni  0.000  0.000  0.500 [2 per cell]
Ni  0.000  0.247  0.244 [8 per cell]
Ni  0.000  0.500  0.000 [2 per cell]
Ni  0.000  0.500  0.500 [2 per cell]
Ni  0.245  0.123  0.371 [16 per cell]
Ni  0.246  0.126  0.121 [16 per cell]
Au  0.000  0.251  0.500 [4 per cell]
Au  0.000  0.500  0.248 [4 per cell]

Calculated values
Its formation energy is -0.0055 eV per atom. Its density of states at the Fermi level is 50.734 states/eV per cell. The calculated total energy comes out at -22.4695 eV per atom.

=====

Which of these has the lowest calculated total energy?
BeAsOs2